1.
## TlCd2P (PBE)

Data for crystalline TlCd2P at its relaxed geometry.

DFT total energy = -2.127 eV per atom

Cell: 7.2225 7.2225 7.2225 Å, 90.00 90.00 90.00°
Space group Fm-3m (No. 225)
Symmetry-distinct sites (fractional):
Tl  0.0000  0.0000  0.0000
Cd  0.2500  0.2500  0.2500
P  0.0000  0.0000  0.5000

***

2.
## Tl2CdP2 (PBE)

Data for crystalline Tl2CdP2 at its relaxed geometry.

DFT total energy = -3.221 eV per atom

Cell: 6.6721 6.6721 5.6513 Å, 90.00 90.00 90.00°
Space group P4/mbm (No. 127)
Symmetry-distinct sites (fractional):
Tl  0.1779  0.3221  0.0000
Cd  0.0000  0.0000  0.5000
P  0.1132  0.6132  0.5000

***

3.
## TlCd2P (PBE)

Data for crystalline TlCd2P at its relaxed geometry.

DFT total energy = -2.154 eV per atom

Cell: 4.4343 5.3285 8.0500 Å, 90.00 90.00 90.00°
Space group Cmmm (No. 65)
Symmetry-distinct sites (fractional):
Tl  0.0000  0.0000  0.0000
Cd  0.0000  0.5000  0.2976
P  0.0000  0.0000  0.5000